(1)
A relaxed structure of La3SiTe, computed with PBE.

Cell: 5.6473 5.6473 5.6473 Å, 90.00 90.00 90.00°
Fractional coordinates of all 5 atoms:
La 0.0000 0.0000 0.5000
La 0.0000 0.5000 0.0000
La 0.5000 0.0000 0.0000
Si 0.0000 0.0000 0.0000
Te 0.5000 0.5000 0.5000

Output
* symmetry: Pm-3m (221)
* DOS(E_F): 1.470 states/eV/atom
* M_tot: 0.000 μB/atom
* energy: -5.16 eV/atom
* raw formation energy: -2.44 eV per formula unit
* E above lowest polymorph: 330.7 meV per atom

***

(2)
A relaxed structure of La2SiTe, computed with PBE.

Cell: 5.0317 5.6667 8.0669 Å, 90.00 90.00 90.00°
Fractional coordinates of all 8 atoms:
La 0.0000 0.0000 0.2301
La 0.0000 0.0000 0.7699
La 0.5000 0.5000 0.2301
La 0.5000 0.5000 0.7699
Si 0.0000 0.5000 0.0000
Si 0.5000 0.0000 0.0000
Te 0.0000 0.5000 0.5000
Te 0.5000 0.0000 0.5000

Output
* symmetry: Cmmm (65)
* DOS(E_F): 0.669 states/eV/atom
* M_tot: 0.000 μB/atom
* energy: -5.54 eV/atom
* raw formation energy: -3.74 eV per formula unit
* E above lowest polymorph: 232.6 meV per atom

***

(3)
A relaxed structure of LaSi3Te, computed with PBE.

Cell: 5.1570 5.1570 5.1570 Å, 90.00 90.00 90.00°
Fractional coordinates of all 5 atoms:
La 0.0000 0.0000 0.0000
Si 0.0000 0.5000 0.5000
Si 0.5000 0.0000 0.5000
Si 0.5000 0.5000 0.0000
Te 0.5000 0.5000 0.5000

Output
* symmetry: Pm-3m (221)
* DOS(E_F): 1.193 states/eV/atom
* M_tot: 0.000 μB/atom
* energy: -4.18 eV/atom
* raw formation energy: 3.46 eV per formula unit
* E above lowest polymorph: 0.0 meV per atom

***

(4)
A relaxed structure of La2SiTe, computed with PBE.

Cell: 4.4738 4.4738 22.4514 Å, 90.00 90.00 120.00°
Fractional coordinates of all 12 atoms:
La 0.0000 0.0000 0.2413
La 0.0000 0.0000 0.7587
La 0.3333 0.6667 0.4253
La 0.3333 0.6667 0.9080
La 0.6667 0.3333 0.0920
La 0.6667 0.3333 0.5747
Si 0.0000 0.0000 0.5000
Si 0.3333 0.6667 0.1667
Si 0.6667 0.3333 0.8333
Te 0.0000 0.0000 0.0000
Te 0.3333 0.6667 0.6667
Te 0.6667 0.3333 0.3333

Output
* symmetry: R-3m (166)
* DOS(E_F): 0.439 states/eV/atom
* M_tot: 0.000 μB/atom
* energy: -5.77 eV/atom
* raw formation energy: -4.67 eV per formula unit
* E above lowest polymorph: 0.0 meV per atom

***

(5)
A relaxed structure of LaSiTe, computed with PBE.

Cell: 7.2394 7.2394 7.2394 Å, 90.00 90.00 90.00°
Fractional coordinates of all 12 atoms:
La 0.0000 0.0000 0.0000
La 0.0000 0.5000 0.5000
La 0.5000 0.0000 0.5000
La 0.5000 0.5000 0.0000
Si 0.0000 0.0000 0.5000
Si 0.0000 0.5000 0.0000
Si 0.5000 0.0000 0.0000
Si 0.5000 0.5000 0.5000
Te 0.2500 0.2500 0.7500
Te 0.2500 0.7500 0.2500
Te 0.7500 0.2500 0.2500
Te 0.7500 0.7500 0.7500

Output
* symmetry: F-43m (216)
* DOS(E_F): 1.251 states/eV/atom
* M_tot: 0.000 μB/atom
* energy: -4.71 eV/atom
* raw formation energy: -0.64 eV per formula unit
* E above lowest polymorph: 604.8 meV per atom

***

(6)
A relaxed structure of LaVSi2Te, computed with PBE.

Cell: 5.4649 5.4649 5.0751 Å, 90.00 90.00 90.00°
Fractional coordinates of all 5 atoms:
La 0.0000 0.0000 0.0000
V 0.0000 0.0000 0.5000
Si 0.0000 0.5000 0.0000
Si 0.5000 0.0000 0.0000
Te 0.5000 0.5000 0.5000

Output
* symmetry: P4/mmm (123)
* DOS(E_F): 1.079 states/eV/atom
* M_tot: 0.543 μB/atom
* energy: -4.09 eV/atom
* raw formation energy: 7.58 eV per formula unit

***

(7)
A relaxed structure of La2ZnSiTe, computed with PBE.

Cell: 5.9540 5.9540 4.9720 Å, 90.00 90.00 90.00°
Fractional coordinates of all 5 atoms:
La 0.0000 0.5000 0.0000
La 0.5000 0.0000 0.0000
Zn 0.0000 0.0000 0.5000
Si 0.5000 0.5000 0.5000
Te 0.0000 0.0000 0.0000

Output
* symmetry: P4/mmm (123)
* DOS(E_F): 0.647 states/eV/atom
* M_tot: 0.000 μB/atom
* energy: -3.83 eV/atom
* raw formation energy: 0.53 eV per formula unit

***

(8)
A relaxed structure of LaThSi, computed with PBE.

Cell: 4.1547 15.8818 4.9202 Å, 90.00 90.00 90.00°
Fractional coordinates of all 12 atoms:
La 0.0000 0.2354 0.2500
La 0.0000 0.7646 0.7500
La 0.5000 0.2646 0.7500
La 0.5000 0.7354 0.2500
Th 0.0000 0.0675 0.7500
Th 0.0000 0.9325 0.2500
Th 0.5000 0.4325 0.2500
Th 0.5000 0.5675 0.7500
Si 0.0000 0.4103 0.7500
Si 0.0000 0.5897 0.2500
Si 0.5000 0.0897 0.2500
Si 0.5000 0.9103 0.7500

Output
* symmetry: Cmcm (63)
* DOS(E_F): 0.964 states/eV/atom
* M_tot: 0.000 μB/atom
* energy: -6.22 eV/atom
* raw formation energy: -0.90 eV per formula unit
* E above lowest polymorph: 127.9 meV per atom

***

(9)
A relaxed structure of La2ThSi2, computed with PBE.

Cell: 7.8551 7.8551 4.3675 Å, 90.00 90.00 90.00°
Fractional coordinates of all 10 atoms:
La 0.1770 0.3230 0.0000
La 0.3230 0.8230 0.0000
La 0.6770 0.1770 0.0000
La 0.8230 0.6770 0.0000
Th 0.0000 0.0000 0.5000
Th 0.5000 0.5000 0.5000
Si 0.1135 0.6135 0.5000
Si 0.3865 0.1135 0.5000
Si 0.6135 0.8865 0.5000
Si 0.8865 0.3865 0.5000

Output
* symmetry: P4/mbm (127)
* DOS(E_F): 1.310 states/eV/atom
* M_tot: 0.000 μB/atom
* energy: -6.22 eV/atom
* raw formation energy: -2.96 eV per formula unit

***

(10)
A relaxed structure of LaThSi, computed with PBE.

Cell: 4.3807 4.3807 17.2000 Å, 90.00 90.00 90.00°
Fractional coordinates of all 12 atoms:
La 0.0000 0.5000 0.0000
La 0.0000 0.5000 0.5000
La 0.5000 0.0000 0.0000
La 0.5000 0.0000 0.5000
Th 0.0000 0.0000 0.1827
Th 0.0000 0.0000 0.8173
Th 0.5000 0.5000 0.3173
Th 0.5000 0.5000 0.6827
Si 0.0000 0.0000 0.3600
Si 0.0000 0.0000 0.6400
Si 0.5000 0.5000 0.1400
Si 0.5000 0.5000 0.8600

Output
* symmetry: I4/mmm (139)
* DOS(E_F): 1.179 states/eV/atom
* M_tot: 0.000 μB/atom
* energy: -6.35 eV/atom
* raw formation energy: -1.28 eV per formula unit
* E above lowest polymorph: 0.0 meV per atom

***

(11)
A relaxed structure of La3ThSi4, computed with PBE.

Cell: 4.2772 6.4896 16.3380 Å, 90.00 90.00 90.00°
Fractional coordinates of all 16 atoms:
La 0.0000 0.0000 0.0000
La 0.0000 0.5000 0.1935
La 0.0000 0.5000 0.8065
La 0.5000 0.0000 0.3065
La 0.5000 0.0000 0.6935
La 0.5000 0.5000 0.5000
Th 0.0000 0.0000 0.5000
Th 0.5000 0.5000 0.0000
Si 0.0000 0.3186 0.3704
Si 0.0000 0.3186 0.6296
Si 0.0000 0.6814 0.3704
Si 0.0000 0.6814 0.6296
Si 0.5000 0.1814 0.1296
Si 0.5000 0.1814 0.8704
Si 0.5000 0.8186 0.1296
Si 0.5000 0.8186 0.8704

Output
* symmetry: Immm (71)
* DOS(E_F): 0.929 states/eV/atom
* M_tot: 0.000 μB/atom
* energy: -6.01 eV/atom
* raw formation energy: -4.20 eV per formula unit

***

(12)
A relaxed structure of LaThSi, computed with PBE.

Cell: 4.6935 4.6935 4.4232 Å, 90.00 90.00 120.00°
Fractional coordinates of all 3 atoms:
La 0.0000 0.0000 0.0000
Th 0.6667 0.3333 0.4430
Si 0.3333 0.6667 0.6998

Output
* symmetry: P3m1 (156)
* DOS(E_F): 1.095 states/eV/atom
* M_tot: 0.000 μB/atom
* energy: -6.09 eV/atom
* raw formation energy: -0.50 eV per formula unit
* E above lowest polymorph: 260.6 meV per atom

***

(13)
A relaxed structure of LaTh2Si2, computed with PBE.

Cell: 7.9102 7.9102 4.1634 Å, 90.00 90.00 90.00°
Fractional coordinates of all 10 atoms:
La 0.0000 0.0000 0.0000
La 0.5000 0.5000 0.0000
Th 0.1792 0.3208 0.5000
Th 0.3208 0.8208 0.5000
Th 0.6792 0.1792 0.5000
Th 0.8208 0.6792 0.5000
Si 0.1112 0.6112 0.0000
Si 0.3888 0.1112 0.0000
Si 0.6112 0.8888 0.0000
Si 0.8888 0.3888 0.0000

Output
* symmetry: P4/mbm (127)
* DOS(E_F): 0.986 states/eV/atom
* M_tot: 0.000 μB/atom
* energy: -6.75 eV/atom
* raw formation energy: -3.14 eV per formula unit

***

(14)
A relaxed structure of LaThZnSi, computed with PBE.

Cell: 7.3533 7.3533 7.3533 Å, 90.00 90.00 90.00°
Fractional coordinates of all 16 atoms:
La 0.0000 0.0000 0.0000
La 0.0000 0.5000 0.5000
La 0.5000 0.0000 0.5000
La 0.5000 0.5000 0.0000
Th 0.0000 0.0000 0.5000
Th 0.0000 0.5000 0.0000
Th 0.5000 0.0000 0.0000
Th 0.5000 0.5000 0.5000
Zn 0.2500 0.2500 0.7500
Zn 0.2500 0.7500 0.2500
Zn 0.7500 0.2500 0.2500
Zn 0.7500 0.7500 0.7500
Si 0.2500 0.2500 0.2500
Si 0.2500 0.7500 0.7500
Si 0.7500 0.2500 0.7500
Si 0.7500 0.7500 0.2500

Output
* symmetry: F-43m (216)
* DOS(E_F): 0.919 states/eV/atom
* M_tot: 0.000 μB/atom
* energy: -5.10 eV/atom
* raw formation energy: -1.36 eV per formula unit

***

(15)
A relaxed structure of La2TiSi2, computed with PBE.

Cell: 3.5114 3.5114 19.9983 Å, 90.00 90.00 90.00°
Fractional coordinates of all 10 atoms:
La 0.0000 0.0000 0.1169
La 0.0000 0.0000 0.8831
La 0.5000 0.5000 0.3831
La 0.5000 0.5000 0.6169
Ti 0.0000 0.0000 0.5000
Ti 0.5000 0.5000 0.0000
Si 0.0000 0.5000 0.2500
Si 0.0000 0.5000 0.7500
Si 0.5000 0.0000 0.2500
Si 0.5000 0.0000 0.7500

Output
* symmetry: I4/mmm (139)
* DOS(E_F): 1.324 states/eV/atom
* M_tot: 0.290 μB/atom
* energy: -5.63 eV/atom
* raw formation energy: 0.47 eV per formula unit
* E above lowest polymorph: 626.3 meV per atom

***

(16)
A relaxed structure of LaTiSi2, computed with PBE.

Cell: 4.8303 4.8303 16.9491 Å, 90.00 90.00 90.00°
Fractional coordinates of all 16 atoms:
La 0.0000 0.0000 0.0000
La 0.0000 0.5000 0.2500
La 0.5000 0.0000 0.7500
La 0.5000 0.5000 0.5000
Ti 0.0000 0.0000 0.5000
Ti 0.0000 0.5000 0.7500
Ti 0.5000 0.0000 0.2500
Ti 0.5000 0.5000 0.0000
Si 0.0533 0.2500 0.6250
Si 0.2500 0.5533 0.8750
Si 0.2500 0.9467 0.3750
Si 0.4467 0.2500 0.1250
Si 0.5533 0.7500 0.1250
Si 0.7500 0.0533 0.3750
Si 0.7500 0.4467 0.8750
Si 0.9467 0.7500 0.6250

Output
* symmetry: I-42d (122)
* DOS(E_F): 0.881 states/eV/atom
* M_tot: 0.000 μB/atom
* energy: -6.08 eV/atom
* raw formation energy: -0.63 eV per formula unit
* E above lowest polymorph: 26.4 meV per atom

***

(17)
A relaxed structure of La2TiSi2, computed with PBE.

Cell: 7.2903 7.2903 4.5451 Å, 90.00 90.00 90.00°
Fractional coordinates of all 10 atoms:
La 0.1805 0.3195 0.0000
La 0.3195 0.8195 0.0000
La 0.6805 0.1805 0.0000
La 0.8195 0.6805 0.0000
Ti 0.0000 0.0000 0.5000
Ti 0.5000 0.5000 0.5000
Si 0.1193 0.6193 0.5000
Si 0.3807 0.1193 0.5000
Si 0.6193 0.8807 0.5000
Si 0.8807 0.3807 0.5000

Output
* symmetry: P4/mbm (127)
* DOS(E_F): 0.882 states/eV/atom
* M_tot: 0.355 μB/atom
* energy: -6.25 eV/atom
* raw formation energy: -2.67 eV per formula unit
* E above lowest polymorph: 0.0 meV per atom

***

(18)
A relaxed structure of LaTiSi2, computed with PBE.

Cell: 6.8638 6.8638 6.8638 Å, 90.00 90.00 90.00°
Fractional coordinates of all 16 atoms:
La 0.0000 0.0000 0.0000
La 0.0000 0.5000 0.5000
La 0.5000 0.0000 0.5000
La 0.5000 0.5000 0.0000
Ti 0.0000 0.0000 0.5000
Ti 0.0000 0.5000 0.0000
Ti 0.5000 0.0000 0.0000
Ti 0.5000 0.5000 0.5000
Si 0.2500 0.2500 0.2500
Si 0.2500 0.2500 0.7500
Si 0.2500 0.7500 0.2500
Si 0.2500 0.7500 0.7500
Si 0.7500 0.2500 0.2500
Si 0.7500 0.2500 0.7500
Si 0.7500 0.7500 0.2500
Si 0.7500 0.7500 0.7500

Output
* symmetry: Fm-3m (225)
* DOS(E_F): 0.856 states/eV/atom
* M_tot: 0.480 μB/atom
* energy: -6.10 eV/atom
* raw formation energy: -0.74 eV per formula unit
* E above lowest polymorph: 0.0 meV per atom

***

(19)
A relaxed structure of La2TiSi, computed with PBE.

Cell: 8.6263 8.6263 5.6688 Å, 90.00 90.00 90.00°
Fractional coordinates of all 16 atoms:
La 0.2102 0.7500 0.1250
La 0.2500 0.2102 0.8750
La 0.2500 0.2898 0.3750
La 0.2898 0.7500 0.6250
La 0.7102 0.2500 0.6250
La 0.7500 0.7102 0.3750
La 0.7500 0.7898 0.8750
La 0.7898 0.2500 0.1250
Ti 0.0000 0.0000 0.5000
Ti 0.0000 0.5000 0.7500
Ti 0.5000 0.0000 0.2500
Ti 0.5000 0.5000 0.0000
Si 0.0000 0.0000 0.0000
Si 0.0000 0.5000 0.2500
Si 0.5000 0.0000 0.7500
Si 0.5000 0.5000 0.5000

Output
* symmetry: I-42d (122)
* DOS(E_F): 1.208 states/eV/atom
* M_tot: 0.000 μB/atom
* energy: -5.59 eV/atom
* raw formation energy: 0.82 eV per formula unit

***

(20)
A relaxed structure of LaTi2Si4, computed with PBE.

Cell: 3.6899 3.7706 18.2811 Å, 90.00 90.00 90.00°
Fractional coordinates of all 14 atoms:
La 0.0000 0.0000 0.0000
La 0.5000 0.5000 0.5000
Ti 0.0000 0.5000 0.3085
Ti 0.0000 0.5000 0.6915
Ti 0.5000 0.0000 0.1915
Ti 0.5000 0.0000 0.8085
Si 0.0000 0.0000 0.4125
Si 0.0000 0.0000 0.5875
Si 0.0000 0.5000 0.1676
Si 0.0000 0.5000 0.8324
Si 0.5000 0.0000 0.3324
Si 0.5000 0.0000 0.6676
Si 0.5000 0.5000 0.0875
Si 0.5000 0.5000 0.9125

Output
* symmetry: Immm (71)
* DOS(E_F): 0.568 states/eV/atom
* M_tot: 0.000 μB/atom
* energy: -6.63 eV/atom
* raw formation energy: -3.97 eV per formula unit